No. 1
The following is a DFT calculation (meta-GGA SCAN) of Co2SiCl at its PBEsol-relaxed geometry.

Values from the calculation:
ΔE_f (raw)	0.30	eV per atom
spin magnetization	0.7638	μB per atom
volume	13.3	A^3/atom

Lattice parameters (Å, degrees): 2.9348 2.9348 7.3368 78.46 78.46 60.00
With the nearest neighbours (Å) after each atom.
Fractional positions:
Cl: 0.2580 0.2580 0.2260  3 Co 2.35
Co: 0.0004 0.0004 0.9987  3 Cl 2.35, 3 Co 2.51
Co: 0.7538 0.7538 0.7387  3 Si 2.23
Si: 0.4878 0.4878 0.5366  3 Co 2.23


No. 2
The following is a DFT calculation (meta-GGA SCAN) of Ag2HgPt at its PBEsol-relaxed geometry.

Values from the calculation:
spin magnetization	0.0000	μB per atom
ΔH_f (0 K)	34	meV/atom
volume	17.0	A^3/atom

Lattice parameters (Å, degrees): 2.9637 4.7405 5.5928 115.07 105.36 90.00
With the nearest neighbours (Å) after each atom.
Fractional positions:
Pt: 0.0000 0.5000 0.0000  4 Ag 2.79, 4 Hg 2.80, 2 Pt 2.96
Hg: 0.5000 0.0000 0.0000  4 Pt 2.80, 4 Ag 2.89, 2 Hg 2.96
Ag: 0.7443 0.7443 0.4887  2 Pt 2.79, 6 Ag 2.80-2.96, 2 Hg 2.89
Ag: 0.2557 0.2557 0.5113  2 Pt 2.79, 6 Ag 2.80-2.96, 2 Hg 2.89


No. 3
The following is a DFT calculation (meta-GGA SCAN) of CaZnSeN2 at its PBEsol-relaxed geometry.

Values from the calculation:
ΔE_f (raw)	0.96	eV per atom
spin magnetization	0.0001	μB per atom
volume	15.5	A^3/atom

Lattice parameters (Å, degrees): 4.1686 4.1686 4.4528 90.00 90.00 90.00
With the nearest neighbours (Å) after each atom.
Fractional positions:
Zn: 0.0000 0.0000 0.5000  2 Se 2.23
Ca: 0.5000 0.5000 0.5000  4 Zn 2.95, 8 N 3.05
Se: 0.0000 0.0000 0.0000  4 N 2.08, 2 Zn 2.23
N: 0.0000 0.5000 0.0000  2 Se 2.08
N: 0.5000 0.0000 0.0000  2 Se 2.08


No. 4
The following is a DFT calculation (meta-GGA SCAN) of KLi5 at its PBEsol-relaxed geometry.

Values from the calculation:
spin magnetization	0.0006	μB per atom
ΔH_f (0 K)	89	meV/atom
volume	28.4	A^3/atom

Lattice parameters (Å, degrees): 4.9743 6.2855 6.2855 120.00 90.00 90.00
With the nearest neighbours (Å) after each atom.
Fractional positions:
K: 0.0000 0.0000 0.0000  18 Li 3.63-4.01
Li: 0.0000 0.6667 0.3333  6 Li 3.08
Li: 0.0000 0.3333 0.6667  6 Li 3.08
Li: 0.5000 0.5000 0.5000  8 Li 3.08-3.14
Li: 0.5000 0.0000 0.5000  8 Li 3.08-3.14
Li: 0.5000 0.5000 0.0000  8 Li 3.08-3.14


No. 5
The following is a DFT calculation (meta-GGA SCAN) of CuSbS3 at its PBEsol-relaxed geometry.

Values from the calculation:
ΔE_f (raw)	0.81	eV per atom
spin magnetization	0.0000	μB per atom
volume	23.7	A^3/atom

Lattice parameters (Å, degrees): 4.9127 4.9127 4.9127 90.00 90.00 90.00
With the nearest neighbours (Å) after each atom.
Fractional positions:
Sb: 0.0000 0.0000 0.0000  6 S 2.46
S: 0.0000 0.5000 0.0000  2 Sb 2.46
S: 0.0000 0.0000 0.5000  2 Sb 2.46
S: 0.5000 0.0000 0.0000  2 Sb 2.46
Cu: 0.5000 0.5000 0.5000  12 S 3.47


No. 6
The following is a DFT calculation (meta-GGA SCAN) of TeMo3H at its PBEsol-relaxed geometry.

Values from the calculation:
spin magnetization	0.0001	μB per atom
raw total energy	-26.284	eV per atom
volume	23.0	A^3/atom

Lattice parameters (Å, degrees): 4.8645 4.8645 4.8645 90.00 90.00 90.00
With the nearest neighbours (Å) after each atom.
Fractional positions:
H: 0.5000 0.5000 0.5000  12 Mo 3.44
Mo: 0.0000 0.5000 0.0000  2 Te 2.43
Mo: 0.0000 0.0000 0.5000  2 Te 2.43
Mo: 0.5000 0.0000 0.0000  2 Te 2.43
Te: 0.0000 0.0000 0.0000  6 Mo 2.43


No. 7
The following is a DFT calculation (meta-GGA SCAN) of HgB2F2 at its PBEsol-relaxed geometry.

Values from the calculation:
ΔE_f (raw)	0.50	eV per atom
spin magnetization	0.0001	μB per atom
volume	10.6	A^3/atom

Lattice parameters (Å, degrees): 3.4913 3.4913 4.9933 110.46 110.46 90.00
With the nearest neighbours (Å) after each atom.
Fractional positions:
B: 0.4086 0.4086 0.8173  1 B 1.59
B: 0.5914 0.5914 0.1827  1 B 1.59
Hg: 0.0000 0.0000 0.0000  8 B 2.59, 8 F 2.79
F: 0.2500 0.7500 0.5000  4 B 2.22, 4 F 2.47
F: 0.7500 0.2500 0.5000  4 B 2.22, 4 F 2.47


No. 8
The following is a DFT calculation (meta-GGA SCAN) of CaGeIr3 at its PBEsol-relaxed geometry.

Values from the calculation:
spin magnetization	0.0000	μB per atom
ΔH_f (0 K)	361	meV/atom
volume	19.0	A^3/atom

Lattice parameters (Å, degrees): 4.5663 4.5663 4.5663 90.00 90.00 90.00
With the nearest neighbours (Å) after each atom.
Fractional positions:
Ge: 0.0000 0.0000 0.0000  6 Ir 2.28
Ir: 0.0000 0.5000 0.0000  2 Ge 2.28
Ir: 0.0000 0.0000 0.5000  2 Ge 2.28
Ir: 0.5000 0.0000 0.0000  2 Ge 2.28
Ca: 0.5000 0.5000 0.5000  12 Ir 3.23